Ni2SnWSe | PBE | relaxed

Unit cell a=4.556 b=4.556 c=5.398 alpha=90.00 beta=90.00 gamma=90.00
Positions (direct):
1 Ni 0.000 0.500 0.000
2 Ni 0.500 0.000 0.000
3 Sn 0.000 0.000 0.500
4 W 0.000 0.000 0.000
5 Se 0.500 0.500 0.500

Results
* magnetic moment: 0.00 μB per atom
* V: 22.41 Å³ per atom
* uncorrected formation energy: 6.2 eV/f.u.
* symmetry: P4/mmm, No. 123

Ce2CuH | PBE | relaxed

Unit cell a=3.199 b=3.199 c=6.792 alpha=90.00 beta=90.00 gamma=90.00
Positions (direct):
1 Ce 0.000 0.000 0.205
2 Ce 0.000 0.000 0.795
3 Cu 0.500 0.500 0.500
4 H 0.500 0.500 0.000

Results
* magnetic moment: 0.13 μB per atom
* V: 17.37 Å³ per atom
* energy above the lowest structure with this stoichiometry: 9 meV per atom
* symmetry: P4/mmm, No. 123

AcGe2Pt | PBE | relaxed

Unit cell a=4.504 b=4.504 c=9.372 alpha=90.00 beta=90.00 gamma=90.00
Positions (direct):
1 Ac 0.250 0.250 0.233
2 Ac 0.750 0.750 0.767
3 Ge 0.250 0.250 0.910
4 Ge 0.250 0.750 0.500
5 Ge 0.750 0.250 0.500
6 Ge 0.750 0.750 0.090
7 Pt 0.250 0.250 0.647
8 Pt 0.750 0.750 0.353

Results
* magnetic moment: 0.00 μB per atom
* V: 23.76 Å³ per atom
* energy above the lowest structure with this stoichiometry: 159 meV per atom
* symmetry: P4/nmm, No. 129
* calculated formation energy: -2.98 eV per formula unit

DyEr4Ni2 | PBE | relaxed

Unit cell a=14.540 b=14.540 c=14.540 alpha=15.31 beta=15.31 gamma=15.31
Positions (direct):
1 Dy 0.000 0.000 0.000
2 Er 0.200 0.200 0.200
3 Er 0.399 0.399 0.399
4 Er 0.601 0.601 0.601
5 Er 0.800 0.800 0.800
6 Ni 0.100 0.100 0.100
7 Ni 0.900 0.900 0.900

Results
* magnetic moment: 0.00 μB per atom
* V: 26.68 Å³ per atom
* energy above the lowest structure with this stoichiometry: 22 meV per atom
* symmetry: R-3m, No. 166
* calculated formation energy: -1.04 eV per formula unit